Record 1
VASP calculation (PBE) on a relaxed CsEu3Ni crystal. Values from VASP.

Computed properties:
**Calculated total energy**: -36.90 eV for the cell shown
**Energy of formation**: 112 meV per atom
**N(E_F)**: 32.34 states/eV/f.u.
**Magnetic moment**: 22.36 Bohr magnetons per cell
**Density**: 5.2 g/cm3

```
&SYSTEM
  ibrav = 0, nat = 5, ntyp = 3
/
ATOMIC_SPECIES
Cs 132.91 Cs.upf
Eu 151.96 Eu.upf
Ni 58.69 Ni.upf
CELL_PARAMETERS angstrom
5.918 0.000 0.000
0.000 5.918 0.000
0.000 0.000 5.918
ATOMIC_POSITIONS angstrom
Cs 0.000 0.000 0.000
Eu 0.000 2.959 2.959
Eu 2.959 0.000 2.959
Eu 2.959 2.959 0.000
Ni 2.959 2.959 2.959
```



Record 2
VASP calculation (PBE) on a relaxed MgZrSn crystal. Values from VASP.

Computed properties:
**Calculated total energy**: -14.60 eV for the cell shown
**Energy of formation**: -150 meV per atom
**N(E_F)**: 1.22 states/eV/f.u.
**Magnetic moment**: 0.00 Bohr magnetons per cell
**Density**: 5.7 g/cm3

```
&SYSTEM
  ibrav = 0, nat = 3, ntyp = 3
/
ATOMIC_SPECIES
Mg 24.30 Mg.upf
Zr 91.22 Zr.upf
Sn 118.71 Sn.upf
CELL_PARAMETERS angstrom
-1.599 1.599 6.721
1.599 -1.599 6.721
1.599 1.599 -6.721
ATOMIC_POSITIONS angstrom
Mg 0.000 0.000 0.000
Zr 0.000 0.000 8.978
Sn 0.000 0.000 4.447
```



Record 3
VASP calculation (PBE) on a relaxed Re2NiBr crystal. Values from VASP.

Computed properties:
**Calculated total energy**: -29.10 eV for the cell shown
**N(E_F)**: 1.94 states/eV/f.u.
**ΔE_f (raw)**: 0.81 eV/atom
**Magnetic moment**: 0.00 Bohr magnetons per cell
**Density**: 13.4 g/cm3

```
&SYSTEM
  ibrav = 0, nat = 4, ntyp = 3
/
ATOMIC_SPECIES
Re 186.21 Re.upf
Ni 58.69 Ni.upf
Br 79.90 Br.upf
CELL_PARAMETERS angstrom
3.098 0.000 0.000
0.000 3.098 0.000
0.000 0.000 6.610
ATOMIC_POSITIONS angstrom
Re 0.000 0.000 1.232
Re 0.000 0.000 5.378
Ni 1.549 1.549 0.000
Br 1.549 1.549 3.305
```



Record 4
VASP calculation (PBE) on a relaxed CaLaTe2 crystal. Values from VASP.

Computed properties:
**Calculated total energy**: -19.02 eV for the cell shown
**N(E_F)**: 2.25 states/eV/f.u.
**ΔE_f (raw)**: -1.45 eV/atom
**Magnetic moment**: 0.71 Bohr magnetons per cell
**Density**: 5.3 g/cm3

```
&SYSTEM
  ibrav = 0, nat = 4, ntyp = 3
/
ATOMIC_SPECIES
Ca 40.08 Ca.upf
La 138.91 La.upf
Te 127.60 Te.upf
CELL_PARAMETERS angstrom
-2.093 2.127 7.597
2.093 -2.127 7.597
2.093 2.127 -7.597
ATOMIC_POSITIONS angstrom
Ca 0.000 0.000 0.000
La 2.093 0.000 3.677
Te 0.000 0.000 8.806
Te 0.000 2.127 5.068
```



Record 5
VASP calculation (PBE) on a relaxed TaGa crystal. Values from VASP.

Computed properties:
**Calculated total energy**: -116.25 eV for the cell shown
**Energy of formation**: 174 meV per atom
**N(E_F)**: 1.83 states/eV/f.u.
**Magnetic moment**: 0.00 Bohr magnetons per cell
**Density**: 11.1 g/cm3

```
&SYSTEM
  ibrav = 0, nat = 16, ntyp = 2
/
ATOMIC_SPECIES
Ta 180.95 Ta.upf
Ga 69.72 Ga.upf
CELL_PARAMETERS angstrom
7.824 0.000 0.000
0.000 7.824 0.000
0.000 0.000 4.906
ATOMIC_POSITIONS angstrom
Ta 0.478 5.615 0.000
Ta 0.966 1.664 2.453
Ta 1.664 6.858 2.453
Ta 2.209 0.478 0.000
Ta 5.615 7.346 0.000
Ta 6.160 0.966 2.453
Ta 6.858 6.160 2.453
Ta 7.346 2.209 0.000
Ga 1.342 4.268 2.453
Ga 2.104 3.238 0.000
Ga 3.238 5.720 0.000
Ga 3.556 1.342 2.453
Ga 4.268 6.482 2.453
Ga 4.586 2.104 0.000
Ga 5.720 4.586 0.000
Ga 6.482 3.556 2.453
```



Record 6
VASP calculation (PBE) on a relaxed MgP2Pd2Pt7 crystal. Values from VASP.

Computed properties:
**Calculated total energy**: -69.71 eV for the cell shown
**Energy of formation**: -386 meV per atom
**N(E_F)**: 5.73 states/eV/f.u.
**Magnetic moment**: 0.00 Bohr magnetons per cell
**Density**: 14.5 g/cm3

```
&SYSTEM
  ibrav = 0, nat = 12, ntyp = 4
/
ATOMIC_SPECIES
Mg 24.30 Mg.upf
P 30.97 P.upf
Pd 106.42 Pd.upf
Pt 195.08 Pt.upf
CELL_PARAMETERS angstrom
2.726 -2.726 0.000
2.726 2.726 0.000
-2.712 0.000 12.814
ATOMIC_POSITIONS angstrom
Mg 0.000 0.000 0.000
P 0.016 0.000 9.302
P 2.725 0.000 3.512
Pd -0.016 0.000 4.449
Pd 2.757 0.000 8.365
Pt 1.360 1.362 2.134
Pt 0.029 0.000 7.107
Pt 1.381 1.362 10.680
Pt 2.726 0.000 0.000
Pt 1.360 -1.362 2.134
Pt 2.713 0.000 5.708
Pt 1.381 -1.362 10.680
```



Record 7
VASP calculation (PBE) on a relaxed NbV3Co crystal. Values from VASP.

Computed properties:
**Calculated total energy**: -35.88 eV for the cell shown
**Energy of formation**: 1731 meV per atom
**N(E_F)**: 10.37 states/eV/f.u.
**Magnetic moment**: 3.67 Bohr magnetons per cell
**Density**: 5.4 g/cm3

```
&SYSTEM
  ibrav = 0, nat = 5, ntyp = 3
/
ATOMIC_SPECIES
Nb 92.91 Nb.upf
V 50.94 V.upf
Co 58.93 Co.upf
CELL_PARAMETERS angstrom
4.546 0.000 0.000
0.000 4.546 0.000
0.000 0.000 4.546
ATOMIC_POSITIONS angstrom
Nb 0.000 0.000 0.000
V 0.000 0.000 2.273
V 0.000 2.273 0.000
V 2.273 0.000 0.000
Co 2.273 2.273 2.273
```



Record 8
VASP calculation (PBE) on a relaxed GdPaCuHg crystal. Values from VASP.

Computed properties:
**Calculated total energy**: -27.72 eV for the cell shown
**Energy of formation**: 64 meV per atom
**N(E_F)**: 8.11 states/eV/f.u.
**Magnetic moment**: 8.74 Bohr magnetons per cell
**Density**: 11.3 g/cm3

```
&SYSTEM
  ibrav = 0, nat = 4, ntyp = 4
/
ATOMIC_SPECIES
Gd 157.25 Gd.upf
Pa 231.04 Pa.upf
Cu 63.55 Cu.upf
Hg 200.59 Hg.upf
CELL_PARAMETERS angstrom
0.000 3.630 3.630
3.630 0.000 3.630
3.630 3.630 0.000
ATOMIC_POSITIONS angstrom
Gd 0.000 0.000 0.000
Pa 3.630 3.630 3.630
Cu 1.815 1.815 1.815
Hg 5.445 5.445 5.445
```



Record 9
VASP calculation (PBE) on a relaxed CsCuSiF6 crystal. Values from VASP.

Computed properties:
**Calculated total energy**: -45.32 eV for the cell shown
**ΔE_f (raw)**: -2.64 eV/atom
**Magnetic moment**: 0.11 Bohr magnetons per cell
**Density**: 3.4 g/cm3

```
&SYSTEM
  ibrav = 0, nat = 9, ntyp = 4
/
ATOMIC_SPECIES
Cs 132.91 Cs.upf
Cu 63.55 Cu.upf
Si 28.09 Si.upf
F 19.00 F.upf
CELL_PARAMETERS angstrom
2.763 -4.804 0.000
2.763 4.804 0.000
-0.015 0.000 6.161
ATOMIC_POSITIONS angstrom
Cs 0.000 0.000 0.000
Cu 2.755 -1.592 3.080
Si 2.755 1.607 3.080
F 2.000 2.801 4.069
F 1.355 1.662 2.082
F 2.094 0.363 4.071
F 3.511 2.801 2.092
F 3.417 0.363 2.090
F 4.156 1.662 4.079
```



Question: Among the records above, which one has the lowest density?
Answer: CsCuSiF6



Question: Which of these has the highest magnetic moment?
Answer: CsEu3Ni



Question: Among the records above, which one has the lowest density?
Answer: CsCuSiF6